{"formula": "Au2SN", "functional": "PBE", "state": "relaxed", "space_group": "P1, No. 1", "raw_formation_energy_kj_per_mol_atoms": 63, "n_ef_per_ev_atom": 0.266, "magnetic_moment_mub_per_fu": 0.00, "lattice_angstrom": [[-0.710, 2.626, 1.624], [-2.829, -2.847, 1.052], [4.970, -2.053, 2.647]], "species": ["Au", "Au", "N", "S"], "frac_coords": [[0.626, 0.683, 0.474], [0.133, 0.366, 0.770], [0.276, 0.175, 0.128], [0.537, 0.912, 0.124]]}